Entry a
A plane-wave DFT calculation with GGA-PBE was carried out for an optimized crystal structure of Y2TaCr.

Its magnetization is 2.51 μB per formula unit.

The structure belongs to space group P4/mmm (No. 123); the cell edges are 4.6424, 4.6424 and 4.3444 Å and the angles 90.00°, 90.00° and 90.00°. The inequivalent atoms are Y at (0.0000, 0.5000, 0.0000), Ta at (0.0000, 0.0000, 0.5000) and Cr at (0.5000, 0.5000, 0.5000).



Entry b
A plane-wave DFT calculation with GGA-PBE was carried out for an optimized crystal structure of Y2TaCr.

Its magnetization is 3.49 μB per formula unit.

The structure belongs to space group R-3m (No. 166, hexagonal axes); the cell edges are 3.2653, 3.2653 and 30.2628 Å and the angles 90.00°, 90.00° and 120.00°. The inequivalent atoms are Y at (0.0000, 0.0000, 0.2482), Ta at (0.0000, 0.0000, 0.0000) and Cr at (0.0000, 0.0000, 0.5000).



Stability order, top to bottom: entry a, entry b



Entry a
A plane-wave DFT calculation with GGA-PBE was carried out for an optimized crystal structure of Y2TaCr.

Its magnetization is 1.39 μB per formula unit.

The structure belongs to space group Immm (No. 71); the cell edges are 3.5048, 4.7610 and 10.4928 Å and the angles 90.00°, 90.00° and 90.00°. The inequivalent atoms are Y at (0.0000, 0.0000, 0.2118), Ta at (0.0000, 0.5000, 0.0000) and Cr at (0.0000, 0.5000, 0.5000).



Entry b
A plane-wave DFT calculation with GGA-PBE was carried out for an optimized crystal structure of Y2TaCr.

Its magnetization is 0.00 μB per formula unit.

The structure belongs to space group Fm-3m (No. 225); the cell edges are 7.0568, 7.0568 and 7.0568 Å and the angles 90.00°, 90.00° and 90.00°. The inequivalent atoms are Y at (0.2500, 0.2500, 0.2500), Ta at (0.0000, 0.0000, 0.0000) and Cr at (0.0000, 0.0000, 0.5000).



Entry c
A plane-wave DFT calculation with GGA-PBE was carried out for an optimized crystal structure of Y2TaCr.

Its magnetization is 3.89 μB per formula unit.

The structure belongs to space group P4/mmm (No. 123); the cell edges are 3.3310, 3.3310 and 8.3724 Å and the angles 90.00°, 90.00° and 90.00°. The inequivalent atoms are Y at (0.0000, 0.0000, 0.2395), Ta at (0.5000, 0.5000, 0.5000) and Cr at (0.5000, 0.5000, 0.0000).



Stability order, top to bottom: entry c, entry a, entry b



Entry a
A plane-wave DFT calculation with GGA-PBE was carried out for an optimized crystal structure of Y2TaCr.

Its magnetization is 1.01 μB per formula unit.

The structure belongs to space group Imm2 (No. 44); the cell edges are 3.4665, 5.1541 and 10.1831 Å and the angles 90.00°, 90.00° and 90.00°. The inequivalent atoms are Y at (0.0000, 0.0000, 0.0000), Y at (0.0000, 0.5000, 0.2133), Ta at (0.0000, 0.0000, 0.4226) and Cr at (0.0000, 0.5000, 0.7515).



Entry b
A plane-wave DFT calculation with GGA-PBE was carried out for an optimized crystal structure of Y2TaCr.

Its magnetization is 2.48 μB per formula unit.

The structure belongs to space group I-42d (No. 122); the cell edges are 7.9937, 7.9937 and 6.0128 Å and the angles 90.00°, 90.00° and 90.00°. The inequivalent atoms are Y at (0.2209, 0.7500, 0.1250), Ta at (0.0000, 0.0000, 0.5000) and Cr at (0.0000, 0.0000, 0.0000).



Stability order, top to bottom: entry a, entry b